# 1
Here is a relaxed structure of Zr2ScAg from Alexandria via LeMat-Bulk. Energies are from PBE.

CIF file:
```
data_Zr2ScAg
_symmetry_space_group_name_H-M 'R -3 m'
_symmetry_Int_Tables_number 166
_symmetry_space_group_name_Hall '-R 3 2"'
_cell_length_a 3.1284
_cell_length_b 3.1284
_cell_length_c 31.1008
_cell_angle_alpha 90.00
_cell_angle_beta 90.00
_cell_angle_gamma 120.00
loop_
_atom_site_label
_atom_site_fract_x
_atom_site_fract_y
_atom_site_fract_z
Zr1 0.0000 0.0000 0.2468
Sc1 0.0000 0.0000 0.0000
Ag1 0.0000 0.0000 0.5000
```

Computed properties:
density of states at the Fermi level = 18.323 states/eV/cell
magnetization = 0.0 μB per cell
energy relative to the elements = 27 kJ/mol of formula units

=====

# 2
Here is a relaxed structure of ZrSc2Ag from Alexandria via LeMat-Bulk. Energies are from PBE.

CIF file:
```
data_ZrSc2Ag
_symmetry_space_group_name_H-M 'F m -3 m'
_symmetry_Int_Tables_number 225
_symmetry_space_group_name_Hall '-F 4 2 3'
_cell_length_a 7.0334
_cell_length_b 7.0334
_cell_length_c 7.0334
_cell_angle_alpha 90.00
_cell_angle_beta 90.00
_cell_angle_gamma 90.00
loop_
_atom_site_label
_atom_site_fract_x
_atom_site_fract_y
_atom_site_fract_z
Zr1 0.0000 0.0000 0.0000
Sc1 0.2500 0.2500 0.2500
Ag1 0.0000 0.0000 0.5000
```

Computed properties:
density of states at the Fermi level = 13.374 states/eV/cell
magnetization = 12.0 μB per cell
energy relative to the elements = 29 kJ/mol of formula units

=====

# 3
Here is a relaxed structure of ZrScAg from Alexandria via LeMat-Bulk. Energies are from PBE.

CIF file:
```
data_ZrScAg
_symmetry_space_group_name_H-M 'P 1'
_symmetry_Int_Tables_number 1
_symmetry_space_group_name_Hall 'P 1'
_cell_length_a 3.2368
_cell_length_b 5.0296
_cell_length_c 8.0391
_cell_angle_alpha 90.06
_cell_angle_beta 101.58
_cell_angle_gamma 90.01
loop_
_atom_site_label
_atom_site_fract_x
_atom_site_fract_y
_atom_site_fract_z
Zr1 0.0000 0.0000 0.0000
Zr2 0.3274 0.9991 0.6553
Sc1 0.1948 0.4983 0.3926
Sc2 0.8761 0.4993 0.7563
Ag1 0.5399 0.5002 0.0818
Ag2 0.6621 0.9984 0.3255
```

Computed properties:
density of states at the Fermi level = 6.695 states/eV/cell
magnetization = 0.0 μB per cell
energy relative to the elements = -29 kJ/mol of formula units